(1)
Ba4Br6O (meta-GGA SCAN, single point on PBEsol structure); energy above the lowest structure with this stoichiometry = 0 meV per atom; size of the total moment = 0.12 μB/f.u.; N(E_F) = 0.00 states/eV/atom; SG = P6_3mc
1.0
-2.8631 5.8526 -4.3990
-8.9126 -0.4762 5.1672
7.5570 6.1870 3.3129
Ba Br O
8 12 2
Direct
0.5791 0.6667 0.3333
0.0791 0.3333 0.6667
0.0007 0.8012 0.6024
0.0007 0.8012 0.1988
0.0007 0.3976 0.1988
0.5007 0.1988 0.3976
0.5007 0.1988 0.8012
0.5007 0.6024 0.8012
0.2914 0.5298 0.0596
0.2914 0.5298 0.4702
0.2914 0.9404 0.4702
0.7914 0.4702 0.9404
0.7914 0.4702 0.5298
0.7914 0.0596 0.5298
0.6060 0.8562 0.7124
0.6060 0.8562 0.1438
0.6060 0.2876 0.1438
0.1060 0.1438 0.2876
0.1060 0.1438 0.8562
0.1060 0.7124 0.8562
0.9012 0.6667 0.3333
0.4012 0.3333 0.6667

=====

(2)
Ho2IrRh (meta-GGA SCAN, single point on PBEsol structure); ΔE_f = -1.073 eV per atom; size of the total moment = 0.00 μB/f.u.; N(E_F) = 0.36 states/eV/atom; SG = Fm-3m
1.0
-3.9909 2.5607 -0.2036
-3.7513 -1.6391 -2.4014
-3.8685 -1.4448 2.3393
Ir Rh Ho
1 1 2
Direct
0.5000 0.5000 0.5000
0.0000 0.0000 0.0000
0.2500 0.2500 0.2500
0.7500 0.7500 0.7500

=====

(3)
KCaTa2 (meta-GGA SCAN, single point on PBEsol structure); ΔE_f = 1.508 eV per atom; energy above the lowest structure with this stoichiometry = 872 meV per atom; size of the total moment = 1.10 μB/f.u.; N(E_F) = 0.76 states/eV/atom; SG = P4/mmm
1.0
-3.7254 -1.7125 0.3022
1.4417 -3.4411 -1.7272
1.8015 -2.7033 6.8896
Ca K Ta
1 1 2
Direct
0.5000 0.5000 0.0000
0.5000 0.5000 0.5000
0.0000 0.0000 0.8481
0.0000 0.0000 0.1519

=====

(4)
TaSi2Os (meta-GGA SCAN, single point on PBEsol structure); calculated total energy = -39.604 eV/atom; size of the total moment = 0.00 μB/f.u.; N(E_F) = 0.64 states/eV/atom; SG = C2/m
1.0
-2.7513 -0.2959 -0.6696
1.0132 -4.0687 2.4705
0.0340 3.8287 3.0040
Os Si Ta
1 2 1
Direct
0.5000 0.5000 0.5000
0.0000 0.5000 0.0000
0.0000 0.0000 0.5000
0.5000 0.0000 0.0000

=====

(5)
KSr2Ag (meta-GGA SCAN, single point on PBEsol structure); ΔE_f = -0.100 eV per atom; energy above the lowest structure with this stoichiometry = 0 meV per atom; size of the total moment = 0.00 μB/f.u.; N(E_F) = 0.68 states/eV/atom; SG = R-3m
1.0
-0.0572 1.0001 -4.4096
2.5192 -2.3930 -2.8940
-7.4434 -7.3934 -3.8989
Sr K Ag
2 1 1
Direct
0.2197 0.2197 0.3408
0.7803 0.7803 0.6592
0.0000 0.0000 0.0000
0.5000 0.5000 0.5000

=====

(6)
LaCu2Pt (meta-GGA SCAN, single point on PBEsol structure); ΔE_f = -0.595 eV per atom; energy above the lowest structure with this stoichiometry = 0 meV per atom; size of the total moment = 0.00 μB/f.u.; N(E_F) = 0.40 states/eV/atom; SG = R3m
1.0
4.2413 0.0000 0.0000
2.1206 3.6730 0.0000
2.1206 1.2243 4.8336
Pt Cu La
1 2 1
Direct
0.2938 0.2938 0.1187
0.0049 0.0049 0.9853
0.7008 0.7008 0.8976
0.5014 0.5014 0.4959

=====

(7)
Al2FeTe (meta-GGA SCAN, single point on PBEsol structure); calculated total energy = -17.655 eV/atom; size of the total moment = 0.00 μB/f.u.; N(E_F) = 0.46 states/eV/atom; SG = Cm
1.0
-0.9121 2.5019 -1.3107
-2.6353 -3.4318 -1.3565
-2.0398 2.0701 5.3710
Te Fe Al
1 1 2
Direct
0.8391 0.6783 0.2782
0.4699 0.9399 0.6239
0.9924 0.9848 0.9410
0.1985 0.3970 0.6569

=====

(8)
KTlCl2 (meta-GGA SCAN, single point on PBEsol structure); energy above the lowest structure with this stoichiometry = 4 meV per atom; size of the total moment = 0.00 μB/f.u.; N(E_F) = 0.00 states/eV/atom; SG = R-3m
1.0
4.4223 0.0000 0.0000
2.2111 3.8298 0.0000
2.2111 1.2766 7.2852
Tl K Cl
1 1 2
Direct
0.0000 0.0000 0.0000
0.5000 0.5000 0.5000
0.2475 0.2475 0.2576
0.7525 0.7525 0.7424

=====

(9)
KCoRu3 (meta-GGA SCAN, single point on PBEsol structure); ΔE_f = 3.201 eV per atom; size of the total moment = 6.55 μB/f.u.; N(E_F) = 0.97 states/eV/atom; SG = Pm-3m
1.0
-2.7534 1.2029 3.1872
0.8181 -3.7447 2.1200
3.3070 1.9279 2.1293
Ru K Co
3 1 1
Direct
0.0000 0.5000 0.0000
0.0000 0.0000 0.5000
0.5000 0.0000 0.0000
0.0000 0.0000 0.0000
0.5000 0.5000 0.5000

=====

(10)
TeAuI2N (meta-GGA SCAN, single point on PBEsol structure); energy above the lowest structure with this stoichiometry = 0 meV per atom; size of the total moment = 0.01 μB/f.u.; N(E_F) = 0.92 states/eV/atom; SG = P4/mmm
1.0
-1.2259 1.9647 2.9074
3.3717 -3.2703 3.6316
4.4776 3.8350 -0.7036
I Te Au N
2 1 1 1
Direct
0.0000 0.0000 0.5000
0.0000 0.5000 0.0000
0.5000 0.5000 0.5000
0.0000 0.0000 0.0000
0.5000 0.0000 0.0000

=====

(11)
KTe2Rh (meta-GGA SCAN, single point on PBEsol structure); calculated total energy = -29.894 eV/atom; size of the total moment = 0.00 μB/f.u.; SG = R-3m
1.0
4.0820 0.0000 0.0000
2.0410 3.5351 0.0000
2.0410 1.1784 7.5510
K Te Rh
1 2 1
Direct
0.5000 0.5000 0.5000
0.7222 0.7222 0.8335
0.2778 0.2778 0.1665
0.0000 0.0000 0.0000

=====

(12)
SrSbTe2P (meta-GGA SCAN, single point on PBEsol structure); calculated total energy = -29.151 eV/atom; size of the total moment = 0.00 μB/f.u.; N(E_F) = 1.01 states/eV/atom; SG = P4/mmm
1.0
-2.1051 4.2892 2.2660
-2.4438 1.1878 -4.5187
-4.1741 -2.8460 1.5094
Sb Te P Sr
1 2 1 1
Direct
0.5000 0.0000 0.0000
0.0000 0.0000 0.5000
0.0000 0.5000 0.0000
0.0000 0.0000 0.0000
0.5000 0.5000 0.5000